1.
## InNi2Sn2 (GGA-PBE)

Data for a relaxed structure of InNi2Sn2.

Summary:
crystal system: tetragonal
SG: I4/mmm (139)
D(E_F): 3.69 states/eV/cell
magnetization: 0.0 μB/cell
uncorrected energy: -4.36 eV per atom

Cell lengths 6.677, 6.677, 6.677 Å; angles 143.71, 143.71, 52.26 degrees
Fractional positions:
In 0.000 0.000 0.000
Ni 0.250 0.750 0.500
Ni 0.750 0.250 0.500
Sn 0.374 0.374 0.000
Sn 0.626 0.626 0.000

2.
## InNi2Sn2 (GGA-PBE)

Data for a relaxed structure of InNi2Sn2.

Summary:
crystal system: tetragonal
SG: P4/mbm (127)
D(E_F): 4.89 states/eV/cell
magnetization: 0.0 μB/cell
uncorrected energy: -4.35 eV per atom

Cell lengths 8.078, 8.078, 2.911 Å; angles 90.00, 90.00, 90.00 degrees
Fractional positions:
In 0.000 0.000 0.000
In 0.500 0.500 0.000
Ni 0.152 0.348 0.500
Ni 0.348 0.848 0.500
Ni 0.652 0.152 0.500
Ni 0.848 0.652 0.500
Sn 0.140 0.640 0.000
Sn 0.360 0.140 0.000
Sn 0.640 0.860 0.000
Sn 0.860 0.360 0.000

3.
## InNi3Sn (GGA-PBE)

Data for a relaxed structure of InNi3Sn.

Summary:
crystal system: cubic
SG: Pm-3m (221)
D(E_F): 5.11 states/eV/cell
magnetization: 0.0 μB/cell
relative energy among the computed polymorphs: 809 meV per atom

Cell lengths 4.660, 4.660, 4.660 Å; angles 90.00, 90.00, 90.00 degrees
Fractional positions:
In 0.000 0.000 0.000
Ni 0.000 0.500 0.500
Ni 0.500 0.000 0.500
Ni 0.500 0.500 0.000
Sn 0.500 0.500 0.500

4.
## Sr2In2NiSn4 (GGA-PBE)

Data for a relaxed structure of Sr2In2NiSn4.

Summary:
crystal system: tetragonal
SG: I4/mmm (139)
D(E_F): 3.99 states/eV/cell
magnetization: 0.0 μB/cell
uncorrected energy: -3.75 eV per atom

Cell lengths 6.930, 6.930, 6.930 Å; angles 118.34, 118.34, 92.90 degrees
Fractional positions:
Sr 0.250 0.750 0.500
Sr 0.750 0.250 0.500
In 0.223 0.223 0.000
In 0.777 0.777 0.000
Ni 0.500 0.500 0.000
Sn 0.237 0.237 0.474
Sn 0.237 0.763 0.000
Sn 0.763 0.237 0.000
Sn 0.763 0.763 0.526

5.
## Sr2InNi4Sn3 (GGA-PBE)

Data for a relaxed structure of Sr2InNi4Sn3.

Summary:
crystal system: tetragonal
SG: P-4m2 (115)
D(E_F): 6.59 states/eV/cell
magnetization: 0.0 μB/cell
uncorrected energy: -4.50 eV per atom

Cell lengths 4.563, 4.563, 10.238 Å; angles 90.00, 90.00, 90.00 degrees
Fractional positions:
Sr 0.000 0.500 0.240
Sr 0.500 0.000 0.760
In 0.000 0.000 0.500
Ni 0.000 0.000 0.000
Ni 0.000 0.500 0.630
Ni 0.500 0.000 0.370
Ni 0.500 0.500 0.000
Sn 0.000 0.500 0.882
Sn 0.500 0.000 0.118
Sn 0.500 0.500 0.500

6.
## SrIn2Ni2Sn (GGA-PBE)

Data for a relaxed structure of SrIn2Ni2Sn.

Summary:
crystal system: tetragonal
SG: P4/mmm (123)
D(E_F): 3.02 states/eV/cell
magnetization: 0.0 μB/cell
uncorrected energy: -3.89 eV per atom

Cell lengths 4.759, 4.759, 6.360 Å; angles 90.00, 90.00, 90.00 degrees
Fractional positions:
Sr 0.000 0.000 0.000
In 0.500 0.500 0.256
In 0.500 0.500 0.744
Ni 0.000 0.500 0.500
Ni 0.500 0.000 0.500
Sn 0.000 0.000 0.500

7.
## SrInNiSn2 (GGA-PBE)

Data for a relaxed structure of SrInNiSn2.

Summary:
crystal system: tetragonal
SG: P4/mmm (123)
D(E_F): 3.80 states/eV/cell
magnetization: 0.0 μB/cell
uncorrected energy: -3.86 eV per atom

Cell lengths 5.119, 5.119, 5.066 Å; angles 90.00, 90.00, 90.00 degrees
Fractional positions:
Sr 0.000 0.000 0.000
In 0.500 0.500 0.000
Ni 0.500 0.500 0.500
Sn 0.000 0.500 0.500
Sn 0.500 0.000 0.500

8.
## InNiSn2Te (GGA-PBE)

Data for a relaxed structure of InNiSn2Te.

Summary:
crystal system: tetragonal
SG: P4/mmm (123)
D(E_F): 2.15 states/eV/cell
magnetization: 0.0 μB/cell
formation energy (no corrections): -0.116 eV/atom

Cell lengths 5.045, 5.045, 5.082 Å; angles 90.00, 90.00, 90.00 degrees
Fractional positions:
In 0.000 0.000 0.000
Ni 0.000 0.000 0.500
Sn 0.000 0.500 0.500
Sn 0.500 0.000 0.500
Te 0.500 0.500 0.000

9.
## Th2InNi4Sn3 (GGA-PBE)

Data for a relaxed structure of Th2InNi4Sn3.

Summary:
crystal system: tetragonal
SG: P-4m2 (115)
D(E_F): 4.83 states/eV/cell
magnetization: 0.0 μB/cell
uncorrected energy: -5.76 eV per atom

Cell lengths 4.440, 4.440, 10.199 Å; angles 90.00, 90.00, 90.00 degrees
Fractional positions:
Th 0.000 0.500 0.231
Th 0.500 0.000 0.769
In 0.000 0.000 0.500
Ni 0.000 0.000 0.000
Ni 0.000 0.500 0.631
Ni 0.500 0.000 0.369
Ni 0.500 0.500 0.000
Sn 0.000 0.500 0.874
Sn 0.500 0.000 0.126
Sn 0.500 0.500 0.500

10.
## TlIn2NiSn (GGA-PBE)

Data for a relaxed structure of TlIn2NiSn.

Summary:
crystal system: tetragonal
SG: P4/mmm (123)
D(E_F): 2.79 states/eV/cell
magnetization: 0.0 μB/cell
uncorrected energy: -3.53 eV per atom

Cell lengths 5.053, 5.053, 5.062 Å; angles 90.00, 90.00, 90.00 degrees
Fractional positions:
Tl 0.000 0.000 0.000
In 0.000 0.500 0.500
In 0.500 0.000 0.500
Ni 0.500 0.500 0.500
Sn 0.500 0.500 0.000

11.
## In2NiSnW (GGA-PBE)

Data for a relaxed structure of In2NiSnW.

Summary:
crystal system: tetragonal
SG: P4/mmm (123)
D(E_F): 2.76 states/eV/cell
magnetization: 1.1 μB/cell
uncorrected energy: -4.92 eV per atom

Cell lengths 4.843, 4.843, 4.742 Å; angles 90.00, 90.00, 90.00 degrees
Fractional positions:
In 0.000 0.500 0.000
In 0.500 0.000 0.000
Ni 0.000 0.000 0.000
Sn 0.500 0.500 0.500
W 0.000 0.000 0.500

12.
## Sr3InNi3 (GGA-PBE)

Data for a relaxed structure of Sr3InNi3.

Summary:
crystal system: orthorhombic
SG: Cmcm (63)
D(E_F): 9.79 states/eV/cell
magnetization: 0.0 μB/cell
uncorrected energy: -3.72 eV per atom

Cell lengths 6.073, 6.073, 14.005 Å; angles 90.00, 90.00, 137.84 degrees
Fractional positions:
Sr 0.003 0.997 0.750
Sr 0.280 0.720 0.107
Sr 0.280 0.720 0.393
Sr 0.720 0.280 0.607
Sr 0.720 0.280 0.893
Sr 0.997 0.003 0.250
In 0.000 0.000 0.000
In 0.000 0.000 0.500
Ni 0.328 0.672 0.750
Ni 0.426 0.574 0.594
Ni 0.426 0.574 0.906
Ni 0.574 0.426 0.094
Ni 0.574 0.426 0.406
Ni 0.672 0.328 0.250

13.
## SrIn2Ni (GGA-PBE)

Data for a relaxed structure of SrIn2Ni.

Summary:
crystal system: cubic
SG: Fm-3m (225)
D(E_F): 1.82 states/eV/cell
magnetization: 0.0 μB/cell
uncorrected energy: -3.23 eV per atom

Cell lengths 5.084, 5.084, 5.084 Å; angles 60.00, 60.00, 60.00 degrees
Fractional positions:
Sr 0.000 0.000 0.000
In 0.250 0.250 0.250
In 0.750 0.750 0.750
Ni 0.500 0.500 0.500

14.
## SrInNi3 (GGA-PBE)

Data for a relaxed structure of SrInNi3.

Summary:
crystal system: cubic
SG: Pm-3m (221)
D(E_F): 5.99 states/eV/cell
magnetization: 0.0 μB/cell
relative energy among the computed polymorphs: 0 meV per atom

Cell lengths 4.802, 4.802, 4.802 Å; angles 90.00, 90.00, 90.00 degrees
Fractional positions:
Sr 0.000 0.000 0.000
In 0.500 0.500 0.500
Ni 0.000 0.500 0.500
Ni 0.500 0.000 0.500
Ni 0.500 0.500 0.000

15.
## SrIn6Ni6 (GGA-PBE)

Data for a relaxed structure of SrIn6Ni6.

Summary:
crystal system: orthorhombic
SG: Immm (71)
D(E_F): 7.44 states/eV/cell
magnetization: 0.0 μB/cell
uncorrected energy: -4.22 eV per atom

Cell lengths 7.032, 7.032, 7.032 Å; angles 135.29, 99.82, 96.82 degrees
Fractional positions:
Sr 0.000 0.000 0.000
In 0.182 0.682 0.500
In 0.333 0.000 0.333
In 0.343 0.343 0.000
In 0.657 0.657 0.000
In 0.667 0.000 0.667
In 0.818 0.318 0.500
Ni 0.000 0.000 0.500
Ni 0.000 0.500 0.000
Ni 0.240 0.500 0.740
Ni 0.500 0.000 0.000
Ni 0.500 0.500 0.500
Ni 0.760 0.500 0.260

16.
## SrInNi2 (GGA-PBE)

Data for a relaxed structure of SrInNi2.

Summary:
crystal system: orthorhombic
SG: Imm2 (44)
D(E_F): 3.08 states/eV/cell
magnetization: 0.0 μB/cell
uncorrected energy: -3.88 eV per atom

Cell lengths 5.831, 5.831, 5.831 Å; angles 148.17, 131.40, 59.28 degrees
Fractional positions:
Sr 0.000 0.000 0.000
In 0.291 0.791 0.500
Ni 0.522 0.522 0.000
Ni 0.709 0.209 0.500

17.
## SrIn2Ni (GGA-PBE)

Data for a relaxed structure of SrIn2Ni.

Summary:
crystal system: orthorhombic
SG: Cmmm (65)
D(E_F): 2.05 states/eV/cell
magnetization: 0.0 μB/cell
uncorrected energy: -3.41 eV per atom

Cell lengths 5.380, 5.380, 4.103 Å; angles 90.00, 90.00, 116.69 degrees
Fractional positions:
Sr 0.000 0.000 0.000
In 0.326 0.674 0.500
In 0.674 0.326 0.500
Ni 0.500 0.500 0.000

18.
## SrInNi2 (GGA-PBE)

Data for a relaxed structure of SrInNi2.

Summary:
crystal system: trigonal
SG: R3m (160)
D(E_F): 3.69 states/eV/cell
magnetization: 0.2 μB/cell
uncorrected energy: -4.14 eV per atom

Cell lengths 6.414, 6.414, 6.414 Å; angles 37.84, 37.84, 37.84 degrees
Fractional positions:
Sr 0.000 0.000 0.000
In 0.190 0.190 0.190
Ni 0.455 0.455 0.455
Ni 0.787 0.787 0.787

19.
## SrInNi2 (GGA-PBE)

Data for a relaxed structure of SrInNi2.

Summary:
crystal system: tetragonal
SG: I-4m2 (119)
D(E_F): 2.28 states/eV/cell
magnetization: 0.0 μB/cell
uncorrected energy: -3.78 eV per atom

Cell lengths 5.562, 5.562, 5.562 Å; angles 137.29, 137.29, 61.99 degrees
Fractional positions:
Sr 0.000 0.000 0.000
In 0.250 0.750 0.500
Ni 0.500 0.500 0.000
Ni 0.750 0.250 0.500

20.
## SrIn4Ni (GGA-PBE)

Data for a relaxed structure of SrIn4Ni.

Summary:
crystal system: monoclinic
SG: P2_1/m (11)
D(E_F): 5.61 states/eV/cell
magnetization: 0.0 μB/cell
uncorrected energy: -3.38 eV per atom

Cell lengths 4.531, 7.425, 8.960 Å; angles 90.00, 104.36, 90.00 degrees
Fractional positions:
Sr 0.121 0.250 0.242
Sr 0.879 0.750 0.758
In 0.078 0.750 0.153
In 0.310 0.050 0.620
In 0.310 0.450 0.620
In 0.500 0.000 0.000
In 0.500 0.500 0.000
In 0.690 0.550 0.380
In 0.690 0.950 0.380
In 0.922 0.250 0.847
Ni 0.226 0.750 0.452
Ni 0.774 0.250 0.548